[1]
VASP calculation (PBE-GGA) on LiTcO3 after structural relaxation.

The calculation puts the formation energy without anion corrections at -1392 meV/atom. The calculation puts the total DFT energy (no corrections) at -6.82 eV per atom. As for the total magnetic moment: 31.60 μB per cell.

The space group is Fd-3m (No. 227, origin choice 2) and the conventional cell measures 10.119, 10.119 and 10.119 Å, with angles of 90.00, 90.00 and 90.00 degrees. The distinct sites, in fractional coordinates, are Li at (0.000, 0.000, 0.000), Tc at (0.000, 0.000, 0.500) and O at (0.078, 0.375, 0.875).

***

[2]
VASP calculation (PBE-GGA) on LiTcO3 after structural relaxation.

The calculation puts the formation energy without anion corrections at -1590 meV/atom. The calculation puts the total DFT energy (no corrections) at -7.02 eV per atom. As for the total magnetic moment: 0.51 μB per cell.

The space group is C2/c (No. 15) and the conventional cell measures 10.312, 9.288 and 4.819 Å, with angles of 90.00, 98.10 and 90.00 degrees. The distinct sites, in fractional coordinates, are Li at (0.197, 0.105, 0.287), Tc at (0.000, 0.200, 0.750), Tc at (0.000, 0.438, 0.250), O at (0.091, 0.265, 0.088), O at (0.112, 0.403, 0.628) and O at (0.124, 0.088, 0.644).

***

[3]
VASP calculation (PBE-GGA) on LiTcO3 after structural relaxation.

The calculation puts the formation energy without anion corrections at -806 meV/atom. The calculation puts the total DFT energy (no corrections) at -6.24 eV per atom. As for the total magnetic moment: 1.80 μB per cell.

The space group is I-4m2 (No. 119) and the conventional cell measures 3.893, 3.893 and 15.595 Å, with angles of 90.00, 90.00 and 90.00 degrees. The distinct sites, in fractional coordinates, are Li at (0.000, 0.000, 0.092), Tc at (0.000, 0.000, 0.500), Tc at (0.000, 0.500, 0.250), O at (0.000, 0.224, 0.351) and O at (0.000, 0.500, 0.513).

***

[4]
VASP calculation (PBE-GGA) on LiTcO3 after structural relaxation.

The calculation puts the formation energy without anion corrections at -1607 meV/atom. The calculation puts the total DFT energy (no corrections) at -7.04 eV per atom. As for the total magnetic moment: 0.00 μB per cell.

The space group is R3c (No. 161, hexagonal axes) and the conventional cell measures 5.0880, 5.0880 and 13.5659 Å, with angles of 90.00, 90.00 and 120.00 degrees. The distinct sites, in fractional coordinates, are Li at (0.0000, 0.0000, 0.0000), Tc at (0.0000, 0.0000, 0.2139) and O at (0.0477, 0.3386, 0.2898).

***

[5]
VASP calculation (PBE-GGA) on Li2TcO after structural relaxation.

The calculation puts the formation energy without anion corrections at -391 meV/atom. The calculation puts the total DFT energy (no corrections) at -5.18 eV per atom. As for the total magnetic moment: 0.00 μB per cell.

The space group is I-42d (No. 122) and the conventional cell measures 6.930, 6.930 and 3.938 Å, with angles of 90.00, 90.00 and 90.00 degrees. The distinct sites, in fractional coordinates, are Li at (0.143, 0.750, 0.125), Tc at (0.000, 0.000, 0.500) and O at (0.000, 0.000, 0.000).

***

[6]
VASP calculation (PBE-GGA) on Li7TcO6 after structural relaxation.

The calculation puts the formation energy without anion corrections at -1773 meV/atom. The calculation puts the total DFT energy (no corrections) at -5.59 eV per atom. As for the total magnetic moment: 6.00 μB per cell.

The space group is R3 (No. 146, hexagonal axes) and the conventional cell measures 5.5908, 5.5908 and 14.4661 Å, with angles of 90.00, 90.00 and 120.00 degrees. The distinct sites, in fractional coordinates, are Li at (0.0000, 0.0000, 0.0000), Li at (0.0542, 0.3428, 0.8759), Li at (0.0604, 0.6795, 0.0993), Tc at (0.0000, 0.0000, 0.6537), O at (0.0071, 0.7148, 0.5735) and O at (0.0207, 0.3877, 0.4014).

***

[7]
VASP calculation (PBE-GGA) on LiTcO3 after structural relaxation.

The calculation puts the formation energy without anion corrections at -1465 meV/atom. The calculation puts the total DFT energy (no corrections) at -6.90 eV per atom. As for the total magnetic moment: 0.00 μB per cell.

The space group is P2_1/c (No. 14) and the conventional cell measures 6.196, 5.336 and 7.413 Å, with angles of 90.00, 120.44 and 90.00 degrees. The distinct sites, in fractional coordinates, are Li at (0.177, 0.193, 0.284), Tc at (0.260, 0.672, 0.133), O at (0.119, 0.175, 0.516), O at (0.220, 0.692, 0.378) and O at (0.437, 0.503, 0.755).

***

[8]
VASP calculation (PBE-GGA) on LiTcO3 after structural relaxation.

The calculation puts the formation energy without anion corrections at -1601 meV/atom. The calculation puts the total DFT energy (no corrections) at -7.03 eV per atom. As for the total magnetic moment: 0.00 μB per cell.

The space group is P-1 (No. 2) and the conventional cell measures 4.927, 5.009 and 5.610 Å, with angles of 65.58, 65.10 and 60.82 degrees. The distinct sites, in fractional coordinates, are Li at (0.118, 0.162, 0.080), Tc at (0.360, 0.376, 0.472), O at (0.048, 0.473, 0.266), O at (0.282, 0.938, 0.693) and O at (0.428, 0.747, 0.234).

***

[9]
VASP calculation (PBE-GGA) on LiTc2O4 after structural relaxation.

The calculation puts the formation energy without anion corrections at -1511 meV/atom. The calculation puts the total DFT energy (no corrections) at -7.58 eV per atom. As for the total magnetic moment: 4.02 μB per cell.

The space group is Ima2 (No. 46) and the conventional cell measures 6.107, 7.644 and 6.316 Å, with angles of 90.00, 90.00 and 90.00 degrees. The distinct sites, in fractional coordinates, are Li at (0.250, 0.124, 0.000), Tc at (0.000, 0.000, 0.488), Tc at (0.250, 0.716, 0.188), O at (0.033, 0.734, 0.450), O at (0.250, 0.045, 0.704) and O at (0.250, 0.512, 0.761).

***

[10]
VASP calculation (PBE-GGA) on Li5TcO5 after structural relaxation.

The calculation puts the formation energy without anion corrections at -1798 meV/atom. The calculation puts the total DFT energy (no corrections) at -5.86 eV per atom. As for the total magnetic moment: 3.12 μB per cell.

The space group is C2/m (No. 12) and the conventional cell measures 9.870, 3.876 and 5.866 Å, with angles of 90.00, 108.35 and 90.00 degrees. The distinct sites, in fractional coordinates, are Li at (0.000, 0.000, 0.000), Li at (0.196, 0.500, 0.361), Li at (0.213, 0.500, 0.846), Tc at (0.000, 0.000, 0.500), O at (0.000, 0.500, 0.500), O at (0.145, 0.000, 0.325) and O at (0.154, 0.000, 0.818).

***

[11]
VASP calculation (PBE-GGA) on LiTcO3 after structural relaxation.

The calculation puts the formation energy without anion corrections at -1526 meV/atom. The calculation puts the total DFT energy (no corrections) at -6.96 eV per atom. As for the total magnetic moment: 0.00 μB per cell.

The space group is R3m (No. 160, hexagonal axes) and the conventional cell measures 5.4028, 5.4028 and 6.8519 Å, with angles of 90.00, 90.00 and 120.00 degrees. The distinct sites, in fractional coordinates, are Li at (0.0000, 0.0000, 0.0000), Tc at (0.0000, 0.0000, 0.3901) and O at (0.0051, 0.5026, 0.8796).

***

[12]
VASP calculation (PBE-GGA) on LiTc2O6 after structural relaxation.

The calculation puts the formation energy without anion corrections at -1374 meV/atom. The calculation puts the total DFT energy (no corrections) at -7.20 eV per atom. As for the total magnetic moment: 0.59 μB per cell.

The space group is R3 (No. 146, hexagonal axes) and the conventional cell measures 5.2687, 5.2687 and 14.5006 Å, with angles of 90.00, 90.00 and 120.00 degrees. The distinct sites, in fractional coordinates, are Li at (0.0000, 0.0000, 0.0000), Tc at (0.0000, 0.0000, 0.2007), Tc at (0.0000, 0.0000, 0.5129), O at (0.0110, 0.4151, 0.7807) and O at (0.0366, 0.6972, 0.2582).

***

[13]
VASP calculation (PBE-GGA) on LiTcO3 after structural relaxation.

The calculation puts the formation energy without anion corrections at -1473 meV/atom. The calculation puts the total DFT energy (no corrections) at -6.90 eV per atom. As for the total magnetic moment: 0.00 μB per cell.

The space group is C2/c (No. 15) and the conventional cell measures 10.333, 9.309 and 5.223 Å, with angles of 90.00, 100.89 and 90.00 degrees. The distinct sites, in fractional coordinates, are Li at (0.000, 0.085, 0.250), Li at (0.000, 0.253, 0.750), Tc at (0.210, 0.392, 0.294), O at (0.113, 0.259, 0.112), O at (0.115, 0.094, 0.631) and O at (0.151, 0.433, 0.616).

***

[14]
VASP calculation (PBE-GGA) on Li5TcO6 after structural relaxation.

The calculation puts the formation energy without anion corrections at -1805 meV/atom. The calculation puts the total DFT energy (no corrections) at -5.95 eV per atom. As for the total magnetic moment: 0.00 μB per cell.

The space group is C2/m (No. 12) and the conventional cell measures 5.093, 8.798 and 5.061 Å, with angles of 90.00, 109.99 and 90.00 degrees. The distinct sites, in fractional coordinates, are Li at (0.000, 0.000, 0.000), Li at (0.000, 0.167, 0.500), Li at (0.000, 0.325, 0.000), Tc at (0.000, 0.500, 0.500), O at (0.229, 0.500, 0.272) and O at (0.231, 0.346, 0.734).

***

[15]
VASP calculation (PBE-GGA) on Li8TcO6 after structural relaxation.

The calculation puts the formation energy without anion corrections at -1701 meV/atom. The calculation puts the total DFT energy (no corrections) at -5.40 eV per atom. As for the total magnetic moment: 5.03 μB per cell.

The space group is P6_3cm (No. 185) and the conventional cell measures 5.6079, 5.6079 and 11.1112 Å, with angles of 90.00, 90.00 and 120.00 degrees. The distinct sites, in fractional coordinates, are Li at (0.0000, 0.3110, 0.0000), Li at (0.0000, 0.3739, 0.3712), Li at (0.3333, 0.6667, 0.1374), Tc at (0.0000, 0.0000, 0.2043), O at (0.0000, 0.0000, 0.4072), O at (0.0000, 0.3293, 0.1902) and O at (0.3333, 0.6667, 0.4568).

***

[16]
VASP calculation (PBE-GGA) on LiTcO3 after structural relaxation.

The calculation puts the formation energy without anion corrections at -1565 meV/atom. The calculation puts the total DFT energy (no corrections) at -7.00 eV per atom. As for the total magnetic moment: 0.00 μB per cell.

The space group is Cmcm (No. 63) and the conventional cell measures 2.821, 15.635 and 6.095 Å, with angles of 90.00, 90.00 and 90.00 degrees. The distinct sites, in fractional coordinates, are Li at (0.000, 0.098, 0.250), Tc at (0.000, 0.398, 0.250), O at (0.000, 0.142, 0.550) and O at (0.000, 0.490, 0.750).

***

[17]
VASP calculation (PBE-GGA) on LiTcO3 after structural relaxation.

The calculation puts the formation energy without anion corrections at -1579 meV/atom. The calculation puts the total DFT energy (no corrections) at -7.01 eV per atom. As for the total magnetic moment: 0.00 μB per cell.

The space group is Cm (No. 8) and the conventional cell measures 5.091, 8.912 and 5.430 Å, with angles of 90.00, 106.00 and 90.00 degrees. The distinct sites, in fractional coordinates, are Li at (0.000, 0.160, 0.000), Tc at (0.238, 0.336, 0.474), O at (0.003, 0.294, 0.698), O at (0.292, 0.500, 0.255), O at (0.371, 0.205, 0.240) and O at (0.401, 0.500, 0.713).

***

[18]
VASP calculation (PBE-GGA) on LiTcO3 after structural relaxation.

The calculation puts the formation energy without anion corrections at -1281 meV/atom. The calculation puts the total DFT energy (no corrections) at -6.71 eV per atom. As for the total magnetic moment: 0.00 μB per cell.

The space group is P6_3/mmc (No. 194) and the conventional cell measures 3.5094, 3.5094 and 11.5028 Å, with angles of 90.00, 90.00 and 120.00 degrees. The distinct sites, in fractional coordinates, are Li at (0.0000, 0.0000, 0.0000), Tc at (0.3333, 0.6667, 0.2500), O at (0.0000, 0.0000, 0.2500) and O at (0.3333, 0.6667, 0.0937).

***

[19]
VASP calculation (PBE-GGA) on LiTcO3 after structural relaxation.

The calculation puts the formation energy without anion corrections at -1588 meV/atom. The calculation puts the total DFT energy (no corrections) at -7.02 eV per atom. As for the total magnetic moment: 0.00 μB per cell.

The space group is P1 (No. 1) and the conventional cell measures 4.955, 4.982 and 5.427 Å, with angles of 69.99, 83.25 and 60.54 degrees. The distinct sites, in fractional coordinates, are Li at (0.000, 0.000, 0.000), Li at (0.319, 0.383, 0.875), Tc at (0.378, 0.146, 0.422), Tc at (0.707, 0.494, 0.410), O at (0.038, 0.535, 0.179), O at (0.058, 0.329, 0.658), O at (0.404, 0.922, 0.175), O at (0.434, 0.723, 0.645), O at (0.652, 0.287, 0.185) and O at (0.665, 0.124, 0.658).